Compound: BeCrCdO4
Source: the Alexandria database
Functional: PBE with a Hubbard U
Structure: relaxed

Results
calculated total energy = -6.1875 eV/atom

a b c (Å): 6.0727 8.8532 5.9926
angles (deg): 90.00 90.00 90.00
Closest atoms and distances in Å follow each position.
Space group Cmcm (No. 63)
Inequivalent atoms, fractional coordinates:
Be 0.0000 0.1431 0.2500 (multiplicity 4)  4 O 1.64-1.70
Cr 0.0000 0.1417 0.7500 (multiplicity 4)  4 O 1.81-1.83
Cd 0.0000 0.5000 0.0000 (multiplicity 4)  6 O 2.31-2.34
O 0.0000 0.2393 0.0152 (multiplicity 8)  1 Be 1.64, 1 Cr 1.81
O 0.2040 0.0109 0.2500 (multiplicity 8)  1 Be 1.70, 1 Cr 1.83